# 1
Co4PtCl: optimized geometry, PBE.

abc: 4.8489 4.8489 4.8489
angles: 60.00 60.00 60.00
Atoms (fractional coordinates):
Co (0.1244, 0.1244, 0.1244)
Co (0.1244, 0.1244, 0.6267)
Co (0.1244, 0.6267, 0.1244)
Co (0.6267, 0.1244, 0.1244)
Pt (0.7500, 0.7500, 0.7500)
Cl (0.5000, 0.5000, 0.5000)

- Space group: F-43m

---

# 2
Co3PtCl: optimized geometry, PBE.

abc: 4.7127 4.7127 4.7127
angles: 90.00 90.00 90.00
Atoms (fractional coordinates):
Co (0.0000, 0.0000, 0.5000)
Co (0.0000, 0.5000, 0.0000)
Co (0.5000, 0.0000, 0.0000)
Pt (0.0000, 0.0000, 0.0000)
Cl (0.5000, 0.5000, 0.5000)

- Space group: Pm-3m

---

# 3
Co2PtCl: optimized geometry, PBE.

abc: 3.0596 3.0596 6.7865
angles: 90.00 90.00 90.00
Atoms (fractional coordinates):
Co (0.0000, 0.0000, 0.0000)
Co (0.5000, 0.5000, 0.1616)
Pt (0.0000, 0.0000, 0.3749)
Cl (0.5000, 0.5000, 0.7956)

- Space group: P4mm

---

# 4
Co2PtCl: optimized geometry, PBE.

abc: 3.8319 3.8319 7.7687
angles: 90.00 90.00 90.00
Atoms (fractional coordinates):
Co (0.0000, 0.0000, 0.0000)
Co (0.0000, 0.5000, 0.2500)
Co (0.5000, 0.0000, 0.7500)
Co (0.5000, 0.5000, 0.5000)
Pt (0.0000, 0.5000, 0.7500)
Pt (0.5000, 0.0000, 0.2500)
Cl (0.0000, 0.0000, 0.5000)
Cl (0.5000, 0.5000, 0.0000)

- Space group: I-4m2

---

# 5
CoPtCl: optimized geometry, PBE.

abc: 2.9343 2.9343 6.7993
angles: 90.00 90.00 120.00
Atoms (fractional coordinates):
Co (0.0000, 0.0000, 0.0000)
Pt (0.6667, 0.3333, 0.2929)
Cl (0.3333, 0.6667, 0.7662)

- Space group: P3m1

---

# 6
CoPt3Cl: optimized geometry, PBE.

abc: 4.5118 4.5118 4.5118
angles: 90.00 90.00 90.00
Atoms (fractional coordinates):
Co (0.0000, 0.0000, 0.0000)
Pt (0.0000, 0.5000, 0.5000)
Pt (0.5000, 0.0000, 0.5000)
Pt (0.5000, 0.5000, 0.0000)
Cl (0.5000, 0.5000, 0.5000)

- Space group: Pm-3m

---

# 7
CoPt3Cl: optimized geometry, PBE.

abc: 4.6220 4.6220 4.6220
angles: 90.00 90.00 90.00
Atoms (fractional coordinates):
Co (0.0000, 0.0000, 0.0000)
Pt (0.0000, 0.0000, 0.5000)
Pt (0.0000, 0.5000, 0.0000)
Pt (0.5000, 0.0000, 0.0000)
Cl (0.5000, 0.5000, 0.5000)

- Space group: Pm-3m

---

# 8
Co2PtCl: optimized geometry, PBE.

abc: 9.0346 2.8180 4.5618
angles: 90.00 93.31 90.00
Atoms (fractional coordinates):
Co (0.0000, 0.0000, 0.0000)
Co (0.2188, 0.5000, 0.2197)
Co (0.5000, 0.5000, 0.0000)
Co (0.7188, 0.0000, 0.2197)
Pt (0.2666, 0.0000, 0.7575)
Pt (0.7666, 0.5000, 0.7575)
Cl (0.4899, 0.0000, 0.3988)
Cl (0.9899, 0.5000, 0.3988)

- Space group: Cm

---

# 9
Co2PtCl8: optimized geometry, PBE.

abc: 7.1901 7.1901 6.2225
angles: 99.92 99.92 101.68
Atoms (fractional coordinates):
Co (0.2042, 0.2042, 0.0192)
Co (0.7958, 0.7958, 0.9808)
Pt (0.5000, 0.5000, 0.5000)
Cl (0.0242, 0.0242, 0.2422)
Cl (0.2084, 0.4980, 0.2582)
Cl (0.3087, 0.3087, 0.7261)
Cl (0.4980, 0.2084, 0.2582)
Cl (0.5020, 0.7916, 0.7418)
Cl (0.6913, 0.6913, 0.2739)
Cl (0.7916, 0.5020, 0.7418)
Cl (0.9758, 0.9758, 0.7578)

- Space group: C2/m

---

# 10
CoPt2Cl: optimized geometry, PBE.

abc: 2.8151 2.8151 8.4490
angles: 90.00 90.00 90.00
Atoms (fractional coordinates):
Co (0.0000, 0.0000, 0.0000)
Pt (0.0000, 0.0000, 0.4464)
Pt (0.5000, 0.5000, 0.2108)
Cl (0.5000, 0.5000, 0.8247)

- Space group: P4mm

---

# 11
CoPt2Cl: optimized geometry, PBE.

abc: 3.9722 3.9722 7.8644
angles: 90.00 90.00 90.00
Atoms (fractional coordinates):
Co (0.0000, 0.0000, 0.0000)
Co (0.5000, 0.5000, 0.5000)
Pt (0.0000, 0.5000, 0.2500)
Pt (0.0000, 0.5000, 0.7500)
Pt (0.5000, 0.0000, 0.2500)
Pt (0.5000, 0.0000, 0.7500)
Cl (0.0000, 0.0000, 0.5000)
Cl (0.5000, 0.5000, 0.0000)

- Space group: I4/mmm

---

# 12
Co2PtCl: optimized geometry, PBE.

abc: 2.7679 4.3618 4.7787
angles: 90.00 90.00 90.00
Atoms (fractional coordinates):
Co (0.0000, 0.0000, 0.0000)
Co (0.5000, 0.0000, 0.5000)
Pt (0.0000, 0.5000, 0.5000)
Cl (0.5000, 0.5000, 0.0000)

- Space group: Pmmm

---

# 13
Co2PtCl: optimized geometry, PBE.

abc: 6.1208 6.1208 6.1208
angles: 90.00 90.00 90.00
Atoms (fractional coordinates):
Co (0.2500, 0.2500, 0.2500)
Co (0.2500, 0.2500, 0.7500)
Co (0.2500, 0.7500, 0.2500)
Co (0.2500, 0.7500, 0.7500)
Co (0.7500, 0.2500, 0.2500)
Co (0.7500, 0.2500, 0.7500)
Co (0.7500, 0.7500, 0.2500)
Co (0.7500, 0.7500, 0.7500)
Pt (0.0000, 0.0000, 0.0000)
Pt (0.0000, 0.5000, 0.5000)
Pt (0.5000, 0.0000, 0.5000)
Pt (0.5000, 0.5000, 0.0000)
Cl (0.0000, 0.0000, 0.5000)
Cl (0.0000, 0.5000, 0.0000)
Cl (0.5000, 0.0000, 0.0000)
Cl (0.5000, 0.5000, 0.5000)

- Space group: Fm-3m

---

# 14
CoPt2Cl: optimized geometry, PBE.

abc: 8.6448 2.8334 6.2803
angles: 90.00 98.66 90.00
Atoms (fractional coordinates):
Co (0.0000, 0.0000, 0.0000)
Co (0.5000, 0.5000, 0.0000)
Pt (0.0129, 0.5000, 0.6522)
Pt (0.2628, 0.0000, 0.8409)
Pt (0.5129, 0.0000, 0.6522)
Pt (0.7628, 0.5000, 0.8409)
Cl (0.0782, 0.5000, 0.2838)
Cl (0.5782, 0.0000, 0.2838)

- Space group: Cm

---

# 15
CoPt2Cl: optimized geometry, PBE.

abc: 2.7756 4.4488 10.5446
angles: 90.00 90.00 90.00
Atoms (fractional coordinates):
Co (0.0000, 0.0000, 0.0000)
Co (0.5000, 0.5000, 0.5000)
Pt (0.0000, 0.5000, 0.2792)
Pt (0.0000, 0.5000, 0.7208)
Pt (0.5000, 0.0000, 0.2208)
Pt (0.5000, 0.0000, 0.7792)
Cl (0.0000, 0.0000, 0.5000)
Cl (0.5000, 0.5000, 0.0000)

- Space group: Immm

---

Asked for magnetization across the records above, the calculation gives 1.2495; 1.3803; 1.1130; 1.0950; 0.9406; 0.4078; 0.6047; 1.1170; 0.5455; 0.7518; 0.8007; 0.9633; 1.0780; 0.6104; 0.7429 μB/atom in order.
Asked for mass density across the records above, the calculation gives 9.6; 6.5; 9.1; 10.1; 9.5; 12.3; 11.4; 10.0; 3.3; 12.0; 13.0; 10.0; 10.1; 10.6; 12.4 g cm⁻³ in order.
Asked for raw formation energy across the records above, the calculation gives 0.569; 1.151; 0.276; 0.668; 0.135; 1.253; 1.113; 0.375; -0.411; 0.221; 0.619; 0.690; 0.591; 0.181; 0.348 eV per atom in order.